Density functional theory data (PBE) for an optimized crystal structure of Ni2HgSe.

The structure in extended XYZ format:
```
8
Lattice="4.559 0.000 0.000 0.000 4.559 0.000 2.280 2.280 7.406" Properties=species:S:1:pos:R:3 pbc="T T T"
Hg 4.559 2.280 3.703
Hg 0.000 0.000 0.000
Ni 1.676 3.420 1.852
Ni 3.420 3.956 5.555
Ni 5.699 5.163 5.555
Ni 2.883 1.140 1.852
Se 2.280 2.280 0.000
Se 2.280 4.559 3.703
```

Summary:
The raw formation energy comes out at 14.8 kJ per mole of atoms. The space group is I-42d, No. 122. Its volume is 154.0 Å³/cell. Its theoretical density is 8.56 g/cm3.


Density functional theory data (PBE) for an optimized crystal structure of Zr2CoRh.

The structure in extended XYZ format:
```
4
Lattice="4.544 0.000 0.000 2.272 3.935 0.000 2.272 1.312 3.710" Properties=species:S:1:pos:R:3 pbc="T T T"
Rh 2.272 1.312 0.928
Co 4.544 2.624 1.855
Zr 6.816 3.935 2.783
Zr 0.000 0.000 0.000
```

Summary:
As for the formation enthalpy at 0 K: -0.20 eV per atom. The space group is F-43m, No. 216. Its volume is 66.4 Å³/cell. Its theoretical density is 8.62 g/cm3.


Density functional theory data (PBE) for an optimized crystal structure of Re2Cl.

The structure in extended XYZ format:
```
6
Lattice="2.228 -3.859 0.000 2.228 3.859 0.000 0.000 0.000 5.312" Properties=species:S:1:pos:R:3 pbc="T T T"
Re 2.228 1.286 3.984
Re 2.228 -1.286 1.328
Re 0.000 0.000 0.000
Re 0.000 0.000 2.656
Cl 2.228 1.286 1.328
Cl 2.228 -1.286 3.984
```

Summary:
The raw formation energy comes out at 159.5 kJ per mole of atoms. The space group is P6_3/mmc, No. 194. Its volume is 91.3 Å³/cell. Its theoretical density is 14.83 g/cm3.


Density functional theory data (PBE) for an optimized crystal structure of Ba2PdPt.

The structure in extended XYZ format:
```
8
Lattice="4.694 0.000 0.000 0.000 6.312 -0.006 0.000 -3.157 8.366" Properties=species:S:1:pos:R:3 pbc="T T T"
Pt 1.174 0.023 5.980
Pt 3.521 3.132 2.379
Pd 1.174 1.601 1.804
Pd 3.521 1.554 6.555
Ba 1.174 4.669 0.600
Ba 3.521 0.019 3.624
Ba 1.174 3.136 4.735
Ba 3.521 -1.514 7.759
```

Summary:
As for the formation enthalpy at 0 K: -0.64 eV per atom. The space group is P2_1/m, No. 11. Its volume is 247.8 Å³/cell. Its theoretical density is 7.72 g/cm3.


Density functional theory data (PBE) for an optimized crystal structure of NaPbN2O.

The structure in extended XYZ format:
```
5
Lattice="-2.922 1.443 3.267 -3.306 -2.689 -1.770 1.284 -3.292 2.602" Properties=species:S:1:pos:R:3 pbc="T T T"
O 0.642 -1.646 1.301
N -1.653 -1.344 -0.885
N -1.461 0.721 1.633
Na -2.472 -2.269 2.049
Pb 0.000 0.000 0.000
```

Summary:
The raw formation energy comes out at 91.4 kJ per mole of atoms. The space group is P4/mmm, No. 123. Its volume is 93.5 Å³/cell. Its theoretical density is 4.87 g/cm3.


Density functional theory data (PBE) for an optimized crystal structure of CeErAgAu.

The structure in extended XYZ format:
```
4
Lattice="-2.099 -0.136 -2.891 -2.654 -1.332 1.990 -2.448 7.037 1.446" Properties=species:S:1:pos:R:3 pbc="T T T"
Ag -2.040 5.863 1.205
Ce -2.652 0.058 -0.288
Au -0.934 2.685 0.552
Er -3.846 3.491 0.418
```

Summary:
As for the formation enthalpy at 0 K: -0.48 eV per atom. The space group is P4mm, No. 99. Its volume is 97.0 Å³/cell. Its theoretical density is 10.48 g/cm3.


Please write out number 5 again, unchanged.
Density functional theory data (PBE) for an optimized crystal structure of NaPbN2O.

The structure in extended XYZ format:
```
5
Lattice="-2.922 1.443 3.267 -3.306 -2.689 -1.770 1.284 -3.292 2.602" Properties=species:S:1:pos:R:3 pbc="T T T"
O 0.642 -1.646 1.301
N -1.653 -1.344 -0.885
N -1.461 0.721 1.633
Na -2.472 -2.269 2.049
Pb 0.000 0.000 0.000
```

Summary:
The raw formation energy comes out at 91.4 kJ per mole of atoms. The space group is P4/mmm, No. 123. Its volume is 93.5 Å³/cell. Its theoretical density is 4.87 g/cm3.